(1)
VASP calculation (GGA-PBE) on a relaxed structure of Li2VRu2.

The calculation puts the formation enthalpy at 0 K at 0.435 eV per atom. For the total moment, the calculation gives 0.00 μB per formula unit. For the energy above the most stable polymorph in this dataset, the calculation gives 0.55 eV per formula unit.

a b c (Å): 4.330 4.330 4.482
angles (deg): 61.11 61.11 90.00
Element x y z (fractional)
Li1 0.625 0.625 0.749
Ru1 0.750 0.250 0.500
V1 0.000 0.000 0.000
Ru2 0.250 0.750 0.500
Li2 0.375 0.375 0.251

=====

(2)
VASP calculation (GGA-PBE) on a relaxed structure of LiVRu.

The calculation puts the formation enthalpy at 0 K at -0.070 eV per atom. For the total moment, the calculation gives 0.00 μB per formula unit. For the energy above the most stable polymorph in this dataset, the calculation gives 0.00 eV per formula unit.

a b c (Å): 4.980 5.957 5.957
angles (deg): 90.45 72.74 72.74
Element x y z (fractional)
Li1 0.357 0.661 0.911
Ru1 0.291 0.677 0.427
Ru2 0.709 0.323 0.573
Ru3 0.709 0.823 0.073
Li2 0.357 0.161 0.411
Li3 0.643 0.339 0.089
Ru4 0.291 0.177 0.927
V1 0.991 0.002 0.752
V2 0.991 0.502 0.252
V3 0.009 0.498 0.748
Li4 0.643 0.839 0.589
V4 0.009 0.998 0.248

=====

(3)
VASP calculation (GGA-PBE) on a relaxed structure of LiVRu.

The calculation puts the formation enthalpy at 0 K at 0.064 eV per atom. For the total moment, the calculation gives 0.39 μB per formula unit. For the energy above the most stable polymorph in this dataset, the calculation gives 0.40 eV per formula unit.

a b c (Å): 3.093 3.093 4.774
angles (deg): 108.90 108.90 90.00
Each line ends with the local moment (μB).
Element x y z (fractional)
V1 0.934 0.934 0.868  0.43
Ru1 0.296 0.296 0.592  -0.12
Li1 0.620 0.620 0.240  0.01

=====

(4)
VASP calculation (GGA-PBE) on a relaxed structure of LiVRu2.

The calculation puts the formation enthalpy at 0 K at 0.404 eV per atom. For the total moment, the calculation gives 0.00 μB per formula unit.

a b c (Å): 6.567 6.567 5.364
angles (deg): 52.26 52.26 90.00
Element x y z (fractional)
Ru1 0.875 0.896 0.750
V1 0.000 0.000 0.000
Li1 0.500 0.500 0.000
Ru2 0.104 0.625 0.250
V2 0.750 0.250 0.500
Li2 0.250 0.750 0.500
Ru3 0.375 0.354 0.750
Ru4 0.646 0.125 0.250

=====

(5)
VASP calculation (GGA-PBE) on a relaxed structure of Li2VRu.

The calculation puts the formation enthalpy at 0 K at 0.539 eV per atom. For the total moment, the calculation gives 1.69 μB per formula unit. For the energy above the most stable polymorph in this dataset, the calculation gives 1.03 eV per formula unit.

a b c (Å): 4.187 4.187 4.187
angles (deg): 60.00 60.00 60.00
Each line ends with the local moment (μB).
Element x y z (fractional)
Li1 0.750 0.750 0.750  0.03
Ru1 0.500 0.500 0.500  -0.65
V1 0.000 0.000 0.000  1.98
Li2 0.250 0.250 0.250  0.03

=====

(6)
VASP calculation (GGA-PBE) on a relaxed structure of LiRu3W.

The calculation puts the formation enthalpy at 0 K at 0.803 eV per atom. For the total moment, the calculation gives 0.00 μB per formula unit. For the energy above the most stable polymorph in this dataset, the calculation gives 0.00 eV per formula unit.

a b c (Å): 4.068 4.068 4.068
angles (deg): 90.00 90.00 90.00
Element x y z (fractional)
Ru1 0.000 0.000 0.500
W1 0.500 0.500 0.500
Ru2 0.000 0.500 0.000
Li1 0.000 0.000 0.000
Ru3 0.500 0.000 0.000

=====

Q: total moment of number 5 (Li2VRu)?
A: 1.69 μB per formula unit

=====

Q: The lowest formation enthalpy at 0 K belongs to which entry?
A: number 2